# TlIr2Os (PBE-GGA, relaxed)
data_TlIr2Os
_symmetry_space_group_name_H-M 'P 1'
_symmetry_Int_Tables_number 1
_cell_length_a 9.341
_cell_length_b 9.341
_cell_length_c 9.341
_cell_angle_alpha 17.71
_cell_angle_beta 17.71
_cell_angle_gamma 17.71
loop_
_symmetry_equiv_pos_as_xyz
'x,y,z'
loop_
_atom_site_label
_atom_site_type_symbol
_atom_site_fract_x
_atom_site_fract_y
_atom_site_fract_z
_atom_site_occupancy
Ir1 Ir 0.993 0.993 0.993 1
Ir2 Ir 0.507 0.507 0.507 1
Os1 Os 0.250 0.250 0.250 1
Tl1 Tl 0.750 0.750 0.750 1
# calculated formation energy = 498 meV/atom
# ΔE to the lowest computed polymorph = 0.51 eV/f.u.
# space-group type = R-3m, No. 166